Computed, not measured: Ba2SrSn2 at its PBEsol-relaxed geometry at the SCAN level of DFT.

Cell lengths 8.7611, 8.7611, 5.1242 Å; angles 90.00, 90.00, 90.00 degrees
Last column: nearest neighbours and their distance in Å.
Space group P4/mbm (No. 127)
One atom of each set of equivalent atoms:
1 Ba 0.1685 0.3315 0.0000  6 Sn 3.62-3.67
2 Sr 0.0000 0.0000 0.5000  4 Sn 3.49
3 Sn 0.1195 0.6195 0.5000  1 Sn 2.96

Values from the calculation:
Total magnetic moment: 0.061 μB/atom
Offset from the most stable computed form: 0.00 kJ per mole of atoms
Energy of formation: -3.4 eV per formula unit